{
  "formula": "LaTl2Mo",
  "functional": "SCAN",
  "state": "single point on PBEsol structure",
  "dft_energy_ev_per_atom": -55.30,
  "mass_density_g_cm3": 11.709,
  "vol_a3_per_atom": 22.819,
  "magmom_total_mub_per_fu": 0.00,
  "spacegroup": "R-3m (166)",
  "ef_ev_per_atom": 0.38,
  "lattice_angstrom": [[1.597, 0.922, 10.337], [-1.597, 0.922, 10.337], [0.000, -1.844, 10.337]],
  "species": ["La", "Tl", "Tl", "Mo"],
  "frac_coords": [[0.000, 0.000, 0.000], [0.241, 0.241, 0.241], [0.759, 0.759, 0.759], [0.500, 0.500, 0.500]]
}

=====

{
  "formula": "La3TlMo",
  "functional": "SCAN",
  "state": "single point on PBEsol structure",
  "dft_energy_ev_per_atom": -47.30,
  "mass_density_g_cm3": 7.666,
  "vol_a3_per_atom": 31.062,
  "magmom_total_mub_per_fu": 0.00,
  "spacegroup": "Pm-3m (221)",
  "ef_ev_per_atom": 0.01,
  "lattice_angstrom": [[5.375, 0.000, 0.000], [0.000, 5.375, 0.000], [0.000, 0.000, 5.375]],
  "species": ["La", "La", "La", "Tl", "Mo"],
  "frac_coords": [[0.000, 0.000, 0.500], [0.000, 0.500, 0.000], [0.500, 0.000, 0.000], [0.500, 0.500, 0.500], [0.000, 0.000, 0.000]]
}

=====

{
  "formula": "LaTl2Mo",
  "functional": "SCAN",
  "state": "single point on PBEsol structure",
  "dft_energy_ev_per_atom": -55.42,
  "mass_density_g_cm3": 10.549,
  "vol_a3_per_atom": 25.328,
  "magmom_total_mub_per_fu": 0.00,
  "spacegroup": "Imm2 (44)",
  "ef_ev_per_atom": 0.26,
  "lattice_angstrom": [[-1.584, 2.403, 6.655], [1.584, -2.403, 6.655], [1.584, 2.403, -6.655]],
  "species": ["La", "Tl", "Tl", "Mo"],
  "frac_coords": [[0.000, 0.000, 0.000], [0.371, 0.371, 0.000], [0.689, 0.189, 0.500], [0.192, 0.692, 0.500]]
}

=====

{
  "formula": "LaTl2Mo",
  "functional": "SCAN",
  "state": "single point on PBEsol structure",
  "dft_energy_ev_per_atom": -55.49,
  "mass_density_g_cm3": 11.178,
  "vol_a3_per_atom": 23.903,
  "magmom_total_mub_per_fu": 2.76,
  "spacegroup": "Fm-3m (225)",
  "ef_ev_per_atom": 0.19,
  "lattice_angstrom": [[0.000, 3.629, 3.629], [3.629, 0.000, 3.629], [3.629, 3.629, 0.000]],
  "species": ["La", "Tl", "Tl", "Mo"],
  "frac_coords": [[0.000, 0.000, 0.000], [0.250, 0.250, 0.250], [0.750, 0.750, 0.750], [0.500, 0.500, 0.500]]
}

=====

{
  "formula": "LaMoW2",
  "functional": "SCAN",
  "state": "single point on PBEsol structure",
  "dft_energy_ev_per_atom": -53.62,
  "mass_density_g_cm3": 14.036,
  "vol_a3_per_atom": 17.821,
  "magmom_total_mub_per_fu": 0.00,
  "spacegroup": "F-43m (216)",
  "ef_ev_per_atom": 0.72,
  "lattice_angstrom": [[0.000, 3.291, 3.291], [3.291, 0.000, 3.291], [3.291, 3.291, 0.000]],
  "species": ["La", "Mo", "W", "W"],
  "frac_coords": [[0.000, 0.000, 0.000], [0.750, 0.750, 0.750], [0.250, 0.250, 0.250], [0.500, 0.500, 0.500]]
}

=====

{
  "formula": "LaMoW2",
  "functional": "SCAN",
  "state": "single point on PBEsol structure",
  "dft_energy_ev_per_atom": -53.51,
  "mass_density_g_cm3": 13.872,
  "vol_a3_per_atom": 18.031,
  "magmom_total_mub_per_fu": 0.00,
  "spacegroup": "Immm (71)",
  "ef_ev_per_atom": 0.83,
  "lattice_angstrom": [[-1.583, 2.352, 4.844], [1.583, -2.352, 4.844], [1.583, 2.352, -4.844]],
  "species": ["La", "Mo", "W", "W"],
  "frac_coords": [[0.000, 0.000, 0.000], [0.500, 0.500, 0.000], [0.259, 0.759, 0.500], [0.741, 0.241, 0.500]]
}

=====

{
  "formula": "LaYMo4",
  "functional": "SCAN",
  "state": "single point on PBEsol structure",
  "dft_energy_ev_per_atom": -34.81,
  "mass_density_g_cm3": 8.679,
  "vol_a3_per_atom": 19.502,
  "magmom_total_mub_per_fu": 0.00,
  "spacegroup": "F-43m (216)",
  "ef_ev_per_atom": 0.27,
  "lattice_angstrom": [[0.000, 3.882, 3.882], [3.882, 0.000, 3.882], [3.882, 3.882, 0.000]],
  "species": ["La", "Y", "Mo", "Mo", "Mo", "Mo"],
  "frac_coords": [[0.000, 0.000, 0.000], [0.750, 0.750, 0.750], [0.375, 0.375, 0.375], [0.375, 0.375, 0.876], [0.375, 0.876, 0.375], [0.876, 0.375, 0.375]]
}

=====

{
  "formula": "LaZnMo2",
  "functional": "SCAN",
  "state": "single point on PBEsol structure",
  "dft_energy_ev_per_atom": -31.46,
  "mass_density_g_cm3": 8.655,
  "vol_a3_per_atom": 19.004,
  "magmom_total_mub_per_fu": 0.00,
  "spacegroup": "Pm (6)",
  "ef_ev_per_atom": 0.14,
  "lattice_angstrom": [[3.217, 0.000, 0.000], [0.000, 3.217, 0.000], [-0.008, 0.000, 7.343]],
  "species": ["La", "Zn", "Mo", "Mo"],
  "frac_coords": [[0.000, 0.000, 0.000], [0.499, 0.500, 0.681], [0.499, 0.500, 0.299], [0.998, 0.000, 0.476]]
}

=====

{
  "formula": "LaZrMo2",
  "functional": "SCAN",
  "state": "single point on PBEsol structure",
  "dft_energy_ev_per_atom": -35.53,
  "mass_density_g_cm3": 8.474,
  "vol_a3_per_atom": 20.675,
  "magmom_total_mub_per_fu": 0.00,
  "spacegroup": "Pm (6)",
  "ef_ev_per_atom": 0.36,
  "lattice_angstrom": [[3.090, 0.000, 0.000], [0.000, 4.231, 0.000], [-1.448, 0.000, 6.326]],
  "species": ["La", "Zr", "Mo", "Mo"],
  "frac_coords": [[0.000, 0.000, 0.000], [0.364, 0.500, 0.676], [0.545, 0.500, 0.284], [0.913, 0.000, 0.453]]
}

=====

{
  "formula": "LaZrMo2",
  "functional": "SCAN",
  "state": "single point on PBEsol structure",
  "dft_energy_ev_per_atom": -35.54,
  "mass_density_g_cm3": 7.838,
  "vol_a3_per_atom": 22.353,
  "magmom_total_mub_per_fu": 0.00,
  "spacegroup": "P4/mmm (123)",
  "ef_ev_per_atom": 0.36,
  "lattice_angstrom": [[3.663, 0.000, 0.000], [0.000, 3.663, 0.000], [0.000, 0.000, 6.665]],
  "species": ["La", "Zr", "Mo", "Mo"],
  "frac_coords": [[0.000, 0.000, 0.000], [0.000, 0.000, 0.500], [0.500, 0.500, 0.323], [0.500, 0.500, 0.677]]
}

=====

{
  "formula": "NaLaTeN2",
  "functional": "SCAN",
  "state": "single point on PBEsol structure",
  "dft_energy_ev_per_atom": -20.29,
  "mass_density_g_cm3": 4.049,
  "vol_a3_per_atom": 26.044,
  "magmom_total_mub_per_fu": 4.01,
  "spacegroup": "P4/mmm (123)",
  "lattice_angstrom": [[4.475, 0.000, 0.000], [0.000, 4.475, 0.000], [0.000, 0.000, 6.502]],
  "species": ["Na", "La", "Te", "N", "N"],
  "frac_coords": [[0.000, 0.000, 0.000], [0.500, 0.500, 0.500], [0.500, 0.500, 0.000], [0.000, 0.500, 0.500], [0.500, 0.000, 0.500]]
}

=====

{
  "formula": "La2Nb2N2O5",
  "functional": "SCAN",
  "state": "single point on PBEsol structure",
  "dft_energy_ev_per_atom": -21.12,
  "mass_density_g_cm3": 6.072,
  "vol_a3_per_atom": 14.211,
  "magmom_total_mub_per_fu": 0.00,
  "spacegroup": "Cm (8)",
  "lattice_angstrom": [[13.614, -1.983, 0.000], [13.614, 1.983, 0.000], [-0.060, 0.000, 5.790]],
  "species": ["La", "La", "La", "La", "Nb", "Nb", "Nb", "Nb", "N", "N", "N", "N", "O", "O", "O", "O", "O", "O", "O", "O", "O", "O"],
  "frac_coords": [[0.000, 0.000, 0.000], [0.570, 0.570, 0.482], [0.730, 0.730, 0.009], [0.842, 0.842, 0.507], [0.124, 0.124, 0.000], [0.230, 0.230, 0.496], [0.343, 0.343, 0.991], [0.442, 0.442, 0.497], [0.075, 0.075, 0.227], [0.194, 0.194, 0.761], [0.382, 0.382, 0.256], [0.394, 0.394, 0.736], [0.076, 0.076, 0.745], [0.183, 0.183, 0.235], [0.276, 0.276, 0.132], [0.298, 0.298, 0.631], [0.498, 0.498, 0.235], [0.500, 0.500, 0.721], [0.637, 0.637, 0.981], [0.744, 0.744, 0.442], [0.828, 0.828, 0.937], [0.941, 0.941, 0.450]]
}